First-principles (GGA-PBE) data for crystalline ZnCr2P at its relaxed geometry, as listed in Alexandria via LeMat-Bulk.

Values from the calculation:
crystal system	tetragonal
N(E_F)	0.995	states/eV/atom
VASP energy	-6.182	eV/atom
E_form	0.300	eV per atom

The structure in CIF format:
```
data_ZnCr2P
_chemical_formula_sum 'Zn2 Cr4 P2'
_symmetry_space_group_name_H-M 'P 1'
_symmetry_Int_Tables_number 1
_cell_length_a 5.300
_cell_length_b 5.300
_cell_length_c 5.300
_cell_angle_alpha 103.74
_cell_angle_beta 103.74
_cell_angle_gamma 121.67
loop_
_symmetry_equiv_pos_as_xyz
'x,y,z'
loop_
_atom_site_label
_atom_site_type_symbol
_atom_site_fract_x
_atom_site_fract_y
_atom_site_fract_z
Zn1 Zn 0.000 0.000 0.000
Zn2 Zn 0.750 0.250 0.500
Cr1 Cr 0.163 0.625 0.038
Cr2 Cr 0.375 0.413 0.538
Cr3 Cr 0.587 0.125 0.962
Cr4 Cr 0.875 0.837 0.462
P1 P 0.250 0.750 0.500
P2 P 0.500 0.500 0.000
```